# 1
Compound: HgBPCl2
Source: the Alexandria database
Functional: GGA-PBE
Structure: optimized geometry

The uncorrected formation energy comes out at 0.5587 eV per atom. The relative energy among the computed polymorphs comes out at 0.0 kJ/mol of formula units. The calculation puts the total magnetic moment at 0.00 μB per cell. The value obtained for the total energy is -13.29 eV for the cell shown.

The space group is P4/mmm (No. 123) and the conventional cell measures 4.289, 4.289 and 4.780 Å, with angles of 90.00, 90.00 and 90.00 degrees. The inequivalent atoms are Hg at (0.000, 0.000, 0.000), B at (0.500, 0.500, 0.500), P at (0.500, 0.500, 0.000) and Cl at (0.000, 0.500, 0.500).

# 2
Compound: HgBPCl2
Source: the Alexandria database
Functional: GGA-PBE
Structure: optimized geometry

The uncorrected formation energy comes out at 1.2921 eV per atom. The relative energy among the computed polymorphs comes out at 353.8 kJ/mol of formula units. The calculation puts the total magnetic moment at 1.69 μB per cell. The value obtained for the total energy is -9.62 eV for the cell shown.

The space group is P4/mmm (No. 123) and the conventional cell measures 5.402, 5.402 and 5.012 Å, with angles of 90.00, 90.00 and 90.00 degrees. The inequivalent atoms are Hg at (0.000, 0.000, 0.000), B at (0.500, 0.500, 0.500), P at (0.000, 0.000, 0.500) and Cl at (0.000, 0.500, 0.000).

# 3
Compound: HgBPd2Cl
Source: the Alexandria database
Functional: GGA-PBE
Structure: optimized geometry

The uncorrected formation energy comes out at 0.2309 eV per atom. The calculation puts the total magnetic moment at 0.00 μB per cell. The value obtained for the total energy is -18.06 eV for the cell shown.

The space group is P4/mmm (No. 123) and the conventional cell measures 4.301, 4.301 and 4.640 Å, with angles of 90.00, 90.00 and 90.00 degrees. The inequivalent atoms are Hg at (0.000, 0.000, 0.000), B at (0.000, 0.000, 0.500), Pd at (0.000, 0.500, 0.500) and Cl at (0.500, 0.500, 0.000).

# 4
Compound: RbHgB2Cl8
Source: the Alexandria database
Functional: GGA-PBE
Structure: optimized geometry

The uncorrected formation energy comes out at -0.9938 eV per atom. The calculation puts the total magnetic moment at 2.98 μB per cell. The value obtained for the total energy is -123.97 eV for the cell shown.

The space group is R-3 (No. 148, hexagonal axes) and the conventional cell measures 6.3790, 6.3790 and 28.7236 Å, with angles of 90.00, 90.00 and 120.00 degrees. The inequivalent atoms are Rb at (0.0000, 0.0000, 0.0000), Hg at (0.0000, 0.0000, 0.5000), B at (0.0000, 0.0000, 0.2531), Cl at (0.0000, 0.0000, 0.3178) and Cl at (0.0385, 0.6253, 0.4349).

# 5
Compound: Hg2BRhCl
Source: the Alexandria database
Functional: GGA-PBE
Structure: optimized geometry

The uncorrected formation energy comes out at 1.4896 eV per atom. The calculation puts the total magnetic moment at 1.22 μB per cell. The value obtained for the total energy is -9.03 eV for the cell shown.

The space group is P4/mmm (No. 123) and the conventional cell measures 5.606, 5.606 and 3.587 Å, with angles of 90.00, 90.00 and 90.00 degrees. The inequivalent atoms are Hg at (0.000, 0.500, 0.000), B at (0.000, 0.000, 0.500), Rh at (0.500, 0.500, 0.500) and Cl at (0.000, 0.000, 0.000).

# 6
Compound: Hg2BRuCl
Source: the Alexandria database
Functional: GGA-PBE
Structure: optimized geometry

The uncorrected formation energy comes out at 1.7098 eV per atom. The calculation puts the total magnetic moment at 2.45 μB per cell. The value obtained for the total energy is -9.85 eV for the cell shown.

The space group is P4/mmm (No. 123) and the conventional cell measures 5.665, 5.665 and 3.673 Å, with angles of 90.00, 90.00 and 90.00 degrees. The inequivalent atoms are Hg at (0.000, 0.500, 0.000), B at (0.000, 0.000, 0.500), Ru at (0.500, 0.500, 0.500) and Cl at (0.000, 0.000, 0.000).

# 7
Compound: HgBS2Cl
Source: the Alexandria database
Functional: GGA-PBE
Structure: optimized geometry

The uncorrected formation energy comes out at 1.4267 eV per atom. The relative energy among the computed polymorphs comes out at 404.1 kJ/mol of formula units. The calculation puts the total magnetic moment at 0.98 μB per cell. The value obtained for the total energy is -9.95 eV for the cell shown.

The space group is P4/mmm (No. 123) and the conventional cell measures 4.985, 4.985 and 5.388 Å, with angles of 90.00, 90.00 and 90.00 degrees. The inequivalent atoms are Hg at (0.000, 0.000, 0.000), B at (0.500, 0.500, 0.500), S at (0.000, 0.500, 0.000) and Cl at (0.000, 0.000, 0.500).

# 8
Compound: HgBS2Cl
Source: the Alexandria database
Functional: GGA-PBE
Structure: optimized geometry

The uncorrected formation energy comes out at 0.5892 eV per atom. The relative energy among the computed polymorphs comes out at 0.0 kJ/mol of formula units. The calculation puts the total magnetic moment at 0.00 μB per cell. The value obtained for the total energy is -14.13 eV for the cell shown.

The space group is P4/mmm (No. 123) and the conventional cell measures 4.387, 4.387 and 4.371 Å, with angles of 90.00, 90.00 and 90.00 degrees. The inequivalent atoms are Hg at (0.000, 0.000, 0.000), B at (0.500, 0.500, 0.500), S at (0.000, 0.500, 0.500) and Cl at (0.500, 0.500, 0.000).

# 9
Compound: HgBSCl2
Source: the Alexandria database
Functional: GGA-PBE
Structure: optimized geometry

The uncorrected formation energy comes out at 0.3774 eV per atom. The relative energy among the computed polymorphs comes out at 0.0 kJ/mol of formula units. The calculation puts the total magnetic moment at 0.00 μB per cell. The value obtained for the total energy is -12.91 eV for the cell shown.

The space group is P4/mmm (No. 123) and the conventional cell measures 4.274, 4.274 and 4.808 Å, with angles of 90.00, 90.00 and 90.00 degrees. The inequivalent atoms are Hg at (0.000, 0.000, 0.000), B at (0.500, 0.500, 0.500), S at (0.500, 0.500, 0.000) and Cl at (0.000, 0.500, 0.500).

# 10
Compound: Hg2BSCl
Source: the Alexandria database
Functional: GGA-PBE
Structure: optimized geometry

The uncorrected formation energy comes out at 1.4385 eV per atom. The calculation puts the total magnetic moment at 0.34 μB per cell. The value obtained for the total energy is -6.06 eV for the cell shown.

The space group is P4/mmm (No. 123) and the conventional cell measures 6.003, 6.003 and 4.592 Å, with angles of 90.00, 90.00 and 90.00 degrees. The inequivalent atoms are Hg at (0.000, 0.500, 0.000), B at (0.000, 0.000, 0.500), S at (0.500, 0.500, 0.500) and Cl at (0.500, 0.500, 0.000).

# 11
Compound: HgBSCl2
Source: the Alexandria database
Functional: GGA-PBE
Structure: optimized geometry

The uncorrected formation energy comes out at 1.0697 eV per atom. The relative energy among the computed polymorphs comes out at 334.0 kJ/mol of formula units. The calculation puts the total magnetic moment at 0.41 μB per cell. The value obtained for the total energy is -9.45 eV for the cell shown.

The space group is P4/mmm (No. 123) and the conventional cell measures 5.245, 5.245 and 5.003 Å, with angles of 90.00, 90.00 and 90.00 degrees. The inequivalent atoms are Hg at (0.000, 0.000, 0.000), B at (0.500, 0.500, 0.500), S at (0.000, 0.000, 0.500) and Cl at (0.000, 0.500, 0.000).

# 12
Compound: YHgB2Cl
Source: the Alexandria database
Functional: GGA-PBE
Structure: optimized geometry

The uncorrected formation energy comes out at 0.8130 eV per atom. The calculation puts the total magnetic moment at 0.04 μB per cell. The value obtained for the total energy is -17.90 eV for the cell shown.

The space group is P4/mmm (No. 123) and the conventional cell measures 4.143, 4.143 and 6.116 Å, with angles of 90.00, 90.00 and 90.00 degrees. The inequivalent atoms are Y at (0.000, 0.000, 0.000), Hg at (0.000, 0.000, 0.500), B at (0.000, 0.500, 0.500) and Cl at (0.500, 0.500, 0.000).

# 13
Compound: HoBCl
Source: the Alexandria database
Functional: GGA-PBE
Structure: optimized geometry

The uncorrected formation energy comes out at -1.1924 eV per atom. The relative energy among the computed polymorphs comes out at 29.3 kJ/mol of formula units. The calculation puts the total magnetic moment at 0.00 μB per cell. The value obtained for the total energy is -66.72 eV for the cell shown.

The space group is C2/m (No. 12) and the conventional cell measures 20.427, 3.549 and 3.261 Å, with angles of 90.00, 90.67 and 90.00 degrees. The inequivalent atoms are Ho at (0.081, 0.000, 0.256), B at (0.009, 0.500, 0.751) and Cl at (0.160, 0.500, 0.762).

# 14
Compound: HoBCl
Source: the Alexandria database
Functional: GGA-PBE
Structure: optimized geometry

The uncorrected formation energy comes out at -1.2936 eV per atom. The relative energy among the computed polymorphs comes out at 0.0 kJ/mol of formula units. The calculation puts the total magnetic moment at 0.00 μB per cell. The value obtained for the total energy is -67.93 eV for the cell shown.

The space group is C2/m (No. 12) and the conventional cell measures 6.005, 3.467 and 11.130 Å, with angles of 90.00, 91.49 and 90.00 degrees. The inequivalent atoms are Ho at (0.008, 0.000, 0.162), B at (0.166, 0.500, 0.994) and Cl at (0.182, 0.500, 0.326).

# 15
Compound: Ho4BCl5
Source: the Alexandria database
Functional: GGA-PBE
Structure: optimized geometry

The uncorrected formation energy comes out at -1.6577 eV per atom. The calculation puts the total magnetic moment at 0.00 μB per cell. The value obtained for the total energy is -101.60 eV for the cell shown.

The space group is C2/m (No. 12) and the conventional cell measures 17.169, 3.800 and 7.823 Å, with angles of 90.00, 103.35 and 90.00 degrees. The inequivalent atoms are Ho at (0.001, 0.000, 0.284), Ho at (0.147, 0.500, 0.582), B at (0.000, 0.500, 0.500), Cl at (0.000, 0.500, 0.000), Cl at (0.165, 0.000, 0.834) and Cl at (0.172, 0.000, 0.344).

# 16
Compound: Ho2BCl
Source: the Alexandria database
Functional: GGA-PBE
Structure: optimized geometry

The uncorrected formation energy comes out at -0.9141 eV per atom. The calculation puts the total magnetic moment at 0.00 μB per cell. The value obtained for the total energy is -64.01 eV for the cell shown.

The space group is R-3m (No. 166, hexagonal axes) and the conventional cell measures 3.8176, 3.8176 and 20.1335 Å, with angles of 90.00, 90.00 and 120.00 degrees. The inequivalent atoms are Ho at (0.0000, 0.0000, 0.2321), B at (0.0000, 0.0000, 0.5000) and Cl at (0.0000, 0.0000, 0.0000).

# 17
Compound: BICl3
Source: the Alexandria database
Functional: GGA-PBE
Structure: optimized geometry

The uncorrected formation energy comes out at -0.5244 eV per atom. The relative energy among the computed polymorphs comes out at 21.3 kJ/mol of formula units. The calculation puts the total magnetic moment at 3.02 μB per cell. The value obtained for the total energy is -49.17 eV for the cell shown.

The space group is R3m (No. 160, hexagonal axes) and the conventional cell measures 7.8401, 7.8401 and 11.3605 Å, with angles of 90.00, 90.00 and 120.00 degrees. The inequivalent atoms are B at (0.0000, 0.0000, 0.0000), I at (0.0000, 0.0000, 0.3585) and Cl at (0.2048, 0.4097, 0.6650).

# 18
Compound: BICl3
Source: the Alexandria database
Functional: GGA-PBE
Structure: optimized geometry

The uncorrected formation energy comes out at -0.5686 eV per atom. The relative energy among the computed polymorphs comes out at 0.0 kJ/mol of formula units. The calculation puts the total magnetic moment at 0.00 μB per cell. The value obtained for the total energy is -33.22 eV for the cell shown.

The space group is P1 (No. 1) and the conventional cell measures 5.794, 6.603 and 10.332 Å, with angles of 89.96, 86.24 and 89.80 degrees. The inequivalent atoms are B at (0.000, 0.000, 0.000), B at (0.441, 0.500, 0.420), I at (0.073, 0.362, 0.548), I at (0.369, 0.862, 0.871), Cl at (0.444, 0.765, 0.434), Cl at (0.463, 0.386, 0.266), Cl at (0.573, 0.356, 0.552), Cl at (0.869, 0.857, 0.867), Cl at (0.978, 0.886, 0.153) and Cl at (0.995, 0.265, 0.985).

# 19
Compound: BICl3
Source: the Alexandria database
Functional: GGA-PBE
Structure: optimized geometry

The uncorrected formation energy comes out at 0.5708 eV per atom. The relative energy among the computed polymorphs comes out at 549.7 kJ/mol of formula units. The calculation puts the total magnetic moment at 1.53 μB per cell. The value obtained for the total energy is -10.91 eV for the cell shown.

The space group is Pm-3m (No. 221) and the conventional cell measures 4.652, 4.652 and 4.652 Å, with angles of 90.00, 90.00 and 90.00 degrees. The inequivalent atoms are B at (0.000, 0.000, 0.000), I at (0.500, 0.500, 0.500) and Cl at (0.000, 0.000, 0.500).

# 20
Compound: BICl2
Source: the Alexandria database
Functional: GGA-PBE
Structure: optimized geometry

The uncorrected formation energy comes out at 0.4843 eV per atom. The relative energy among the computed polymorphs comes out at 438.3 kJ/mol of formula units. The calculation puts the total magnetic moment at 0.03 μB per cell. The value obtained for the total energy is -29.95 eV for the cell shown.

The space group is R-3m (No. 166, hexagonal axes) and the conventional cell measures 3.2753, 3.2753 and 34.0309 Å, with angles of 90.00, 90.00 and 120.00 degrees. The inequivalent atoms are B at (0.0000, 0.0000, 0.0000), I at (0.0000, 0.0000, 0.5000) and Cl at (0.0000, 0.0000, 0.3707).